Entry from Alexandria: an optimized crystal structure of CuReO4 (GGA-PBEsol).

The structure in CIF format:
```
data_CuReO4
_space_group_name_H-M_alt 'I 41 c d'
_space_group_IT_number 110
_space_group_name_Hall 'I 4bw -2c'
_cell_length_a 13.721
_cell_length_b 13.721
_cell_length_c 7.499
_cell_angle_alpha 90.00
_cell_angle_beta 90.00
_cell_angle_gamma 90.00
loop_
_atom_site_label
_atom_site_type_symbol
_atom_site_fract_x
_atom_site_fract_y
_atom_site_fract_z
Cu1 Cu 0.110 0.346 0.000
Re1 Re 0.104 0.143 0.302
O1 O 0.022 0.129 0.831
O2 O 0.034 0.348 0.462
O3 O 0.128 0.239 0.155
O4 O 0.158 0.165 0.513
```

Calculated values
Formation energy from raw total energies = -1.2259 eV per atom
Energy = -7.670 eV per atom
Volume = 1411.82 Å³/cell
Magnetization = 0.0 μB per formula unit

***

Entry from Alexandria: an optimized crystal structure of MgAu (GGA-PBEsol).

The structure in CIF format:
```
data_MgAu
_space_group_name_H-M_alt 'P 63/m m c'
_space_group_IT_number 194
_space_group_name_Hall '-P 6c 2c'
_cell_length_a 3.2764
_cell_length_b 3.2764
_cell_length_c 8.0707
_cell_angle_alpha 90.00
_cell_angle_beta 90.00
_cell_angle_gamma 120.00
loop_
_atom_site_label
_atom_site_type_symbol
_atom_site_fract_x
_atom_site_fract_y
_atom_site_fract_z
Mg1 Mg 0.0000 0.0000 0.0000
Au1 Au 0.3333 0.6667 0.2500
```

Calculated values
Energy = -3.170 eV per atom
DOS(E_F) = 0.8 states/eV/f.u.
Volume = 75.03 Å³/cell
Magnetization = 0.0 μB per formula unit
Calculated formation energy = -349.3 meV per atom

***

Entry from Alexandria: an optimized crystal structure of ZnP2H15C5NO9 (GGA-PBEsol).

The structure in CIF format:
```
data_ZnP2H15C5NO9
_space_group_name_H-M_alt 'P 21 21 21'
_space_group_IT_number 19
_cell_length_a 10.294
_cell_length_b 10.461
_cell_length_c 11.495
_cell_angle_alpha 90.00
_cell_angle_beta 90.00
_cell_angle_gamma 90.00
loop_
_space_group_symop_operation_xyz
'x,y,z'
'-x+1/2,-y,z+1/2'
'x+1/2,-y+1/2,-z'
'-x,y+1/2,-z+1/2'
loop_
_atom_site_label
_atom_site_type_symbol
_atom_site_fract_x
_atom_site_fract_y
_atom_site_fract_z
Zn1 Zn 0.056 0.199 0.116
P1 P 0.003 0.420 0.303
P2 P 0.187 0.654 0.548
H1 H 0.006 0.285 0.460
H2 H 0.036 0.870 0.626
H3 H 0.049 0.530 0.017
H4 H 0.049 0.971 0.878
H5 H 0.052 0.498 0.804
H6 H 0.072 0.173 0.792
H7 H 0.125 0.017 0.479
H8 H 0.133 0.834 0.817
H9 H 0.160 0.318 0.635
H10 H 0.208 0.537 0.386
H11 H 0.223 0.961 0.886
H12 H 0.235 0.447 0.208
H13 H 0.237 0.974 0.684
H14 H 0.247 0.166 0.787
H15 H 0.249 0.186 0.574
C1 C 0.035 0.974 0.645
C2 C 0.041 0.048 0.533
C3 C 0.137 0.938 0.833
C4 C 0.157 0.146 0.738
C5 C 0.160 0.213 0.622
N1 N 0.148 0.005 0.721
O1 O 0.031 0.831 0.298
O2 O 0.040 0.860 0.076
O3 O 0.042 0.678 0.526
O4 O 0.048 0.182 0.554
O5 O 0.081 0.041 0.205
O6 O 0.150 0.448 0.307
O7 O 0.192 0.546 0.643
O8 O 0.241 0.227 0.091
O9 O 0.242 0.394 0.936
```

Calculated values
Energy = -5.951 eV per atom
DOS(E_F) = 0.0 states/eV/f.u.
Volume = 1237.77 Å³/cell
Magnetization = 0.0 μB per formula unit

***

Entry from Alexandria: an optimized crystal structure of TcRuN2 (GGA-PBEsol).

The structure in CIF format:
```
data_TcRuN2
_space_group_name_H-M_alt 'F m -3 m'
_space_group_IT_number 225
_space_group_name_Hall '-F 4 2 3'
_cell_length_a 5.282
_cell_length_b 5.282
_cell_length_c 5.282
_cell_angle_alpha 90.00
_cell_angle_beta 90.00
_cell_angle_gamma 90.00
loop_
_atom_site_label
_atom_site_type_symbol
_atom_site_fract_x
_atom_site_fract_y
_atom_site_fract_z
Tc1 Tc 0.000 0.000 0.000
Ru1 Ru 0.000 0.000 0.500
N1 N 0.250 0.250 0.250
```

Calculated values
Formation energy from raw total energies = 0.7263 eV per atom
Energy = -8.897 eV per atom
DOS(E_F) = 2.6 states/eV/f.u.
Volume = 147.36 Å³/cell
Magnetization = 0.0 μB per formula unit

***

Entry from Alexandria: an optimized crystal structure of FeSi3Hg (GGA-PBEsol).

The structure in CIF format:
```
data_FeSi3Hg
_space_group_name_H-M_alt 'P m -3 m'
_space_group_IT_number 221
_space_group_name_Hall '-P 4 2 3'
_cell_length_a 4.394
_cell_length_b 4.394
_cell_length_c 4.394
_cell_angle_alpha 90.00
_cell_angle_beta 90.00
_cell_angle_gamma 90.00
loop_
_atom_site_label
_atom_site_type_symbol
_atom_site_fract_x
_atom_site_fract_y
_atom_site_fract_z
Fe1 Fe 0.000 0.000 0.000
Si1 Si 0.000 0.000 0.500
Hg1 Hg 0.500 0.500 0.500
```

Calculated values
Formation energy from raw total energies = 0.2328 eV per atom
Energy = -5.121 eV per atom
DOS(E_F) = 4.3 states/eV/f.u.
Volume = 84.81 Å³/cell
Magnetization = 0.0 μB per formula unit

***

Entry from Alexandria: an optimized crystal structure of TlCuPb3 (GGA-PBEsol).

The structure in CIF format:
```
data_TlCuPb3
_space_group_name_H-M_alt 'P m -3 m'
_space_group_IT_number 221
_space_group_name_Hall '-P 4 2 3'
_cell_length_a 5.732
_cell_length_b 5.732
_cell_length_c 5.732
_cell_angle_alpha 90.00
_cell_angle_beta 90.00
_cell_angle_gamma 90.00
loop_
_atom_site_label
_atom_site_type_symbol
_atom_site_fract_x
_atom_site_fract_y
_atom_site_fract_z
Tl1 Tl 0.000 0.000 0.000
Cu1 Cu 0.500 0.500 0.500
Pb1 Pb 0.000 0.000 0.500
```

Calculated values
Energy = -2.740 eV per atom
DOS(E_F) = 1.9 states/eV/f.u.
Volume = 188.32 Å³/cell
Magnetization = 0.0 μB per formula unit
Calculated formation energy = 1051.8 meV per atom

***

The lowest volume belongs to which entry? MgAu